(1)
Entry from Alexandria: a relaxed NaTlW2 crystal (GGA-PBE).

The structure in CIF format:
```
data_NaTlW2
_symmetry_space_group_name_H-M 'F m -3 m'
_symmetry_Int_Tables_number 225
_symmetry_space_group_name_Hall '-F 4 2 3'
_cell_length_a 6.652
_cell_length_b 6.652
_cell_length_c 6.652
_cell_angle_alpha 90.00
_cell_angle_beta 90.00
_cell_angle_gamma 90.00
loop_
_atom_site_label
_atom_site_fract_x
_atom_site_fract_y
_atom_site_fract_z
Na1 0.000 0.000 0.000
Tl1 0.000 0.000 0.500
W1 0.250 0.250 0.250
```

Values from the calculation:
energy = -90.732 eV/cell
E_form = 1.73 eV/atom

***

(2)
Entry from Alexandria: a relaxed PmPr2Al crystal (GGA-PBE).

The structure in CIF format:
```
data_PmPr2Al
_symmetry_space_group_name_H-M 'F m -3 m'
_symmetry_Int_Tables_number 225
_symmetry_space_group_name_Hall '-F 4 2 3'
_cell_length_a 7.826
_cell_length_b 7.826
_cell_length_c 7.826
_cell_angle_alpha 90.00
_cell_angle_beta 90.00
_cell_angle_gamma 90.00
loop_
_atom_site_label
_atom_site_fract_x
_atom_site_fract_y
_atom_site_fract_z
Pm1 0.000 0.000 0.000
Pr1 0.250 0.250 0.250
Al1 0.000 0.000 0.500
```

Values from the calculation:
energy = -72.616 eV/cell
E_form = -0.03 eV/atom

***

(3)
Entry from Alexandria: a relaxed Ho3ErTm6Th2 crystal (GGA-PBE).

The structure in CIF format:
```
data_Ho3ErTm6Th2
_symmetry_space_group_name_H-M 'C 1 2/m 1'
_symmetry_Int_Tables_number 12
_symmetry_space_group_name_Hall '-C 2y'
_cell_length_a 6.099
_cell_length_b 10.554
_cell_length_c 11.620
_cell_angle_alpha 90.00
_cell_angle_beta 100.09
_cell_angle_gamma 90.00
loop_
_atom_site_label
_atom_site_fract_x
_atom_site_fract_y
_atom_site_fract_z
Ho1 0.000 0.000 0.000
Ho2 0.000 0.334 0.000
Er1 0.000 0.500 0.500
Tm1 0.247 0.000 0.749
Tm2 0.249 0.168 0.252
Th1 0.000 0.167 0.500
```

Values from the calculation:
energy = -119.378 eV/cell
E_form = 0.02 eV/atom

***

(4)
Entry from Alexandria: a relaxed PrMgHgGe crystal (GGA-PBE).

The structure in CIF format:
```
data_PrMgHgGe
_symmetry_space_group_name_H-M 'F -4 3 m'
_symmetry_Int_Tables_number 216
_symmetry_space_group_name_Hall 'F -4 2 3'
_cell_length_a 7.273
_cell_length_b 7.273
_cell_length_c 7.273
_cell_angle_alpha 90.00
_cell_angle_beta 90.00
_cell_angle_gamma 90.00
loop_
_atom_site_label
_atom_site_fract_x
_atom_site_fract_y
_atom_site_fract_z
Pr1 0.000 0.000 0.000
Mg1 0.000 0.000 0.500
Hg1 0.250 0.250 0.250
Ge1 0.250 0.250 0.750
```

Values from the calculation:
energy = -51.486 eV/cell
E_form = -0.39 eV/atom

***

(5)
Entry from Alexandria: a relaxed BSeIO2 crystal (GGA-PBE).

The structure in CIF format:
```
data_BSeIO2
_symmetry_space_group_name_H-M 'P 4/m m m'
_symmetry_Int_Tables_number 123
_symmetry_space_group_name_Hall '-P 4 2'
_cell_length_a 3.794
_cell_length_b 3.794
_cell_length_c 7.922
_cell_angle_alpha 90.00
_cell_angle_beta 90.00
_cell_angle_gamma 90.00
loop_
_atom_site_label
_atom_site_fract_x
_atom_site_fract_y
_atom_site_fract_z
B1 0.000 0.000 0.000
Se1 0.500 0.500 0.500
I1 0.500 0.500 0.000
O1 0.000 0.500 0.500
```

Values from the calculation:
energy = -18.161 eV/cell
energy relative to the elements, uncorrected = 0.6934 eV per atom

***

(6)
Entry from Alexandria: a relaxed PuScZnSb crystal (GGA-PBE).

The structure in CIF format:
```
data_PuScZnSb
_symmetry_space_group_name_H-M 'F -4 3 m'
_symmetry_Int_Tables_number 216
_symmetry_space_group_name_Hall 'F -4 2 3'
_cell_length_a 7.167
_cell_length_b 7.167
_cell_length_c 7.167
_cell_angle_alpha 90.00
_cell_angle_beta 90.00
_cell_angle_gamma 90.00
loop_
_atom_site_label
_atom_site_fract_x
_atom_site_fract_y
_atom_site_fract_z
Pu1 0.000 0.000 0.000
Sc1 0.000 0.000 0.500
Zn1 0.250 0.250 0.250
Sb1 0.250 0.250 0.750
```

Values from the calculation:
energy = -110.295 eV/cell
energy relative to the elements, uncorrected = -0.3785 eV per atom

***

(7)
Entry from Alexandria: a relaxed PuAsPbO5 crystal (GGA-PBE).

The structure in CIF format:
```
data_PuAsPbO5
_symmetry_space_group_name_H-M 'C 1 2/c 1'
_symmetry_Int_Tables_number 15
_symmetry_space_group_name_Hall '-C 2yc'
_cell_length_a 7.989
_cell_length_b 9.485
_cell_length_c 8.175
_cell_angle_alpha 90.00
_cell_angle_beta 115.29
_cell_angle_gamma 90.00
loop_
_atom_site_label
_atom_site_fract_x
_atom_site_fract_y
_atom_site_fract_z
Pu1 0.250 0.250 0.000
As1 0.000 0.056 0.250
Pb1 0.000 0.448 0.250
O1 0.000 0.288 0.750
O2 0.064 0.180 0.127
O3 0.211 0.453 0.063
```

Values from the calculation:
energy = -247.663 eV/cell
energy relative to the elements, uncorrected = -1.8044 eV per atom

***

(8)
Entry from Alexandria: a relaxed SiGeCl crystal (GGA-PBE).

The structure in CIF format:
```
data_SiGeCl
_symmetry_space_group_name_H-M 'P 1'
_symmetry_Int_Tables_number 1
_symmetry_space_group_name_Hall 'P 1'
_cell_length_a 3.906
_cell_length_b 5.745
_cell_length_c 8.887
_cell_angle_alpha 89.45
_cell_angle_beta 87.88
_cell_angle_gamma 79.74
loop_
_atom_site_label
_atom_site_fract_x
_atom_site_fract_y
_atom_site_fract_z
Si1 0.000 0.000 0.000
Si2 0.419 0.526 0.736
Ge1 0.562 0.781 0.929
Ge2 0.936 0.373 0.862
Cl1 0.361 0.571 0.506
Cl2 0.887 0.083 0.226
```

Values from the calculation:
energy = -25.010 eV/cell
energy relative to the elements, uncorrected = -0.2060 eV per atom

***

(9)
Entry from Alexandria: a relaxed La4Ho3ThS8 crystal (GGA-PBE).

The structure in CIF format:
```
data_La4Ho3ThS8
_symmetry_space_group_name_H-M 'R -3 m'
_symmetry_Int_Tables_number 166
_symmetry_space_group_name_Hall '-R 3 2"'
_cell_length_a 8.0476
_cell_length_b 8.0476
_cell_length_c 19.9707
_cell_angle_alpha 90.00
_cell_angle_beta 90.00
_cell_angle_gamma 120.00
loop_
_atom_site_label
_atom_site_fract_x
_atom_site_fract_y
_atom_site_fract_z
La1 0.0000 0.0000 0.0000
La2 0.0000 0.5000 0.0000
Ho1 0.0000 0.5000 0.5000
Th1 0.0000 0.0000 0.5000
S1 0.0000 0.0000 0.2424
S2 0.0072 0.5036 0.7560
```

Values from the calculation:
energy = -320.123 eV/cell
energy relative to the elements, uncorrected = -2.0516 eV per atom

***

(10)
Entry from Alexandria: a relaxed Tm2HPt6 crystal (GGA-PBE).

The structure in CIF format:
```
data_Tm2HPt6
_symmetry_space_group_name_H-M 'F m -3 m'
_symmetry_Int_Tables_number 225
_symmetry_space_group_name_Hall '-F 4 2 3'
_cell_length_a 8.235
_cell_length_b 8.235
_cell_length_c 8.235
_cell_angle_alpha 90.00
_cell_angle_beta 90.00
_cell_angle_gamma 90.00
loop_
_atom_site_label
_atom_site_fract_x
_atom_site_fract_y
_atom_site_fract_z
Tm1 0.250 0.250 0.250
H1 0.000 0.000 0.000
Pt1 0.000 0.000 0.252
```

Values from the calculation:
energy = -228.413 eV/cell

***

(11)
Entry from Alexandria: a relaxed V4Pt3Rh2 crystal (GGA-PBE).

The structure in CIF format:
```
data_V4Pt3Rh2
_symmetry_space_group_name_H-M 'C 1 2/c 1'
_symmetry_Int_Tables_number 15
_symmetry_space_group_name_Hall '-C 2yc'
_cell_length_a 8.012
_cell_length_b 8.944
_cell_length_c 7.346
_cell_angle_alpha 90.00
_cell_angle_beta 98.03
_cell_angle_gamma 90.00
loop_
_atom_site_label
_atom_site_fract_x
_atom_site_fract_y
_atom_site_fract_z
V1 0.042 0.133 0.065
V2 0.205 0.359 0.575
Pt1 0.000 0.365 0.250
Pt2 0.166 0.095 0.753
Rh1 0.127 0.374 0.907
```

Values from the calculation:
energy = -289.935 eV/cell
E_form = -0.35 eV/atom

***

(12)
Entry from Alexandria: a relaxed Sm7Dy2Er4 crystal (GGA-PBE).

The structure in CIF format:
```
data_Sm7Dy2Er4
_symmetry_space_group_name_H-M 'P -1'
_symmetry_Int_Tables_number 2
_symmetry_space_group_name_Hall '-P 1'
_cell_length_a 6.185
_cell_length_b 7.987
_cell_length_c 9.476
_cell_angle_alpha 65.09
_cell_angle_beta 84.00
_cell_angle_gamma 82.59
loop_
_atom_site_label
_atom_site_fract_x
_atom_site_fract_y
_atom_site_fract_z
Sm1 0.000 0.000 0.000
Sm2 0.076 0.846 0.693
Sm3 0.231 0.539 0.077
Sm4 0.386 0.232 0.462
Dy1 0.154 0.692 0.385
Er1 0.307 0.383 0.770
Er2 0.462 0.075 0.153
```

Values from the calculation:
energy = -60.302 eV/cell
E_form = 0.01 eV/atom

***

(13)
Entry from Alexandria: a relaxed La4GaTe2Br crystal (GGA-PBE).

The structure in CIF format:
```
data_La4GaTe2Br
_symmetry_space_group_name_H-M 'P 1 2/m 1'
_symmetry_Int_Tables_number 10
_symmetry_space_group_name_Hall '-P 2y'
_cell_length_a 7.742
_cell_length_b 4.497
_cell_length_c 7.872
_cell_angle_alpha 90.00
_cell_angle_beta 109.19
_cell_angle_gamma 90.00
loop_
_atom_site_label
_atom_site_fract_x
_atom_site_fract_y
_atom_site_fract_z
La1 0.235 0.000 0.233
La2 0.241 0.500 0.761
Ga1 0.000 0.500 0.000
Te1 0.000 0.000 0.500
Te2 0.500 0.500 0.500
Br1 0.500 0.000 0.000
```

Values from the calculation:
energy = -41.017 eV/cell
energy relative to the elements, uncorrected = -1.2905 eV per atom

***

(14)
Entry from Alexandria: a relaxed H2PbBr2 crystal (GGA-PBE).

The structure in CIF format:
```
data_H2PbBr2
_symmetry_space_group_name_H-M 'P -3 m 1'
_symmetry_Int_Tables_number 164
_symmetry_space_group_name_Hall '-P 3 2"'
_cell_length_a 4.5210
_cell_length_b 4.5210
_cell_length_c 8.0024
_cell_angle_alpha 90.00
_cell_angle_beta 90.00
_cell_angle_gamma 120.00
loop_
_atom_site_label
_atom_site_fract_x
_atom_site_fract_y
_atom_site_fract_z
H1 0.3333 0.6667 0.1060
Pb1 0.0000 0.0000 0.5000
Br1 0.3333 0.6667 0.7043
```

Values from the calculation:
energy = -11.956 eV/cell

***

no.,total magnetization (μB/atom)
1,0.30
2,0.00
3,0.00
4,0.00
5,0.00
6,1.63
7,0.37
8,0.00
9,0.00
10,0.00
11,0.00
12,0.00
13,0.00
14,0.40